[1]
! PBE-GGA Tb2PrIn3, optimized geometry; values from VASP
! E_form   -0.256 eV per atom
! Density   7.30 g cm⁻³
! Crystal system   orthorhombic
! ΔE to the lowest computed polymorph   0.228 eV/atom
&SYSTEM
  ibrav = 0, nat = 6, ntyp = 3
/
ATOMIC_SPECIES
Tb 158.93 Tb.upf
Pr 140.91 Pr.upf
In 114.82 In.upf
ATOMIC_POSITIONS angstrom
Tb 3.160 3.678 0.000
Tb 3.160 -3.678 0.000
Pr 3.160 0.000 0.000
In 0.000 0.000 2.625
In 1.580 2.753 2.625
In 1.580 -2.753 2.625
CELL_PARAMETERS angstrom
3.160 -5.506 0.000
3.160 5.506 0.000
0.000 0.000 5.251

[2]
! PBE-GGA Tb5Pr2In5, optimized geometry; values from VASP
! E_form   -0.306 eV per atom
! Density   7.77 g cm⁻³
! Crystal system   monoclinic
&SYSTEM
  ibrav = 0, nat = 12, ntyp = 3
/
ATOMIC_SPECIES
Tb 158.93 Tb.upf
Pr 140.91 Pr.upf
In 114.82 In.upf
ATOMIC_POSITIONS angstrom
Tb 0.000 0.000 0.000
Tb -1.424 0.000 8.908
Tb -0.122 0.000 5.768
Tb 8.256 0.000 5.660
Tb 9.559 0.000 2.521
Pr 2.268 0.000 8.505
Pr 5.866 0.000 2.923
In 1.887 0.000 3.230
In 3.797 0.000 0.383
In 4.067 0.000 5.714
In 4.338 0.000 11.045
In 6.248 0.000 8.198
CELL_PARAMETERS angstrom
5.989 -2.576 0.000
5.989 2.576 0.000
-3.843 0.000 11.428

[3]
! PBE-GGA Tb12Pr3In, optimized geometry; values from VASP
! E_form   -0.041 eV per atom
! Density   7.94 g cm⁻³
! Crystal system   tetragonal
&SYSTEM
  ibrav = 0, nat = 16, ntyp = 3
/
ATOMIC_SPECIES
Tb 158.93 Tb.upf
Pr 140.91 Pr.upf
In 114.82 In.upf
ATOMIC_POSITIONS angstrom
Tb 0.000 0.000 0.000
Tb 0.000 0.000 4.944
Tb 0.000 0.000 10.178
Tb 0.000 0.000 15.411
Tb 0.000 2.506 2.419
Tb 0.000 2.506 7.590
Tb 0.000 2.506 12.765
Tb 0.000 2.506 17.936
Tb 2.506 0.000 2.419
Tb 2.506 0.000 7.590
Tb 2.506 0.000 12.765
Tb 2.506 0.000 17.936
Pr 2.506 2.506 5.041
Pr 2.506 2.506 10.178
Pr 2.506 2.506 15.314
In 2.506 2.506 0.000
CELL_PARAMETERS angstrom
5.012 0.000 0.000
0.000 5.012 0.000
0.000 0.000 20.355

[4]
! PBE-GGA Tb2PrIn, optimized geometry; values from VASP
! E_form   -0.265 eV per atom
! Density   8.01 g cm⁻³
! Crystal system   tetragonal
! ΔE to the lowest computed polymorph   0.000 eV/atom
&SYSTEM
  ibrav = 0, nat = 4, ntyp = 3
/
ATOMIC_SPECIES
Tb 158.93 Tb.upf
Pr 140.91 Pr.upf
In 114.82 In.upf
ATOMIC_POSITIONS angstrom
Tb 0.000 2.470 0.000
Tb 2.470 0.000 0.000
Pr 0.000 0.000 2.438
In 2.470 2.470 2.438
CELL_PARAMETERS angstrom
4.939 0.000 0.000
0.000 4.939 0.000
0.000 0.000 4.876

[5]
! PBE-GGA Tb8Pr2In, optimized geometry; values from VASP
! E_form   -0.060 eV per atom
! Density   7.96 g cm⁻³
! Crystal system   monoclinic
! ΔE to the lowest computed polymorph   0.000 eV/atom
&SYSTEM
  ibrav = 0, nat = 11, ntyp = 3
/
ATOMIC_SPECIES
Tb 158.93 Tb.upf
Pr 140.91 Pr.upf
In 114.82 In.upf
ATOMIC_POSITIONS angstrom
Tb 0.324 0.000 1.729
Tb 1.018 0.000 5.170
Tb 4.593 0.000 4.535
Tb 7.360 0.000 0.444
Tb 8.720 0.000 7.227
Tb 11.488 0.000 3.136
Tb 15.062 0.000 2.501
Tb 15.757 0.000 5.943
Pr 3.752 0.000 1.042
Pr 12.328 0.000 6.629
In 8.040 0.000 3.836
CELL_PARAMETERS angstrom
9.086 -2.496 0.000
9.086 2.496 0.000
-2.093 0.000 7.671

[6]
! PBE-GGA Tb2Pr4In, optimized geometry; values from VASP
! E_form   0.374 eV per atom
! Density   6.80 g cm⁻³
! Crystal system   orthorhombic
&SYSTEM
  ibrav = 0, nat = 7, ntyp = 3
/
ATOMIC_SPECIES
Tb 158.93 Tb.upf
Pr 140.91 Pr.upf
In 114.82 In.upf
ATOMIC_POSITIONS angstrom
Tb 3.132 4.815 0.000
Tb 3.132 -4.815 0.000
Pr 3.132 4.183 3.082
Pr 3.132 1.679 0.000
Pr 3.132 -1.679 0.000
Pr 3.132 -4.183 3.082
In 3.132 0.000 3.082
CELL_PARAMETERS angstrom
3.132 -6.301 0.000
3.132 6.301 0.000
0.000 0.000 6.163

How do the records compare in Fermi-level density of states? In the order shown, they have 0.84 1.06 1.30 1.51 1.33 1.28 states/eV per atom.